Entry from the Alexandria database: a geometry-optimized BeBiI2N structure (PBEsol).

Lattice parameters (Å, degrees): 3.0858 6.3930 6.3930 90.00 90.00 90.00
Each line ends with the local moment (μB).
Fractional coordinates of all 5 atoms:
I 0.0000 0.0000 0.5000  0.06
Bi 0.5000 0.5000 0.5000  -0.02
Be 0.0000 0.0000 0.0000  -0.02
I 0.0000 0.5000 0.0000  0.06
N 0.5000 0.0000 0.0000  0.59

Results
crystal system = tetragonal
E = -3.6979 eV per atom
density = 6.396 g/cm³
energy relative to the elements, uncorrected = 371.3 meV per atom

Entry from the Alexandria database: a geometry-optimized BeBiSbI2 structure (PBEsol).

Lattice parameters (Å, degrees): 6.0725 6.0435 6.0435 90.00 90.00 90.00
Each line ends with the local moment (μB).
Fractional coordinates of all 5 atoms:
Bi 0.0000 0.0000 0.0000  -0.04
I 0.0000 0.0000 0.5000  0.05
I 0.0000 0.5000 0.0000  0.05
Be 0.5000 0.5000 0.5000  0.04
Sb 0.5000 0.0000 0.0000  0.55

Results
crystal system = tetragonal
E = -2.3329 eV per atom
density = 4.444 g/cm³
energy relative to the elements, uncorrected = 942.4 meV per atom

Entry from the Alexandria database: a geometry-optimized BeInBi structure (PBEsol).

Lattice parameters (Å, degrees): 4.8821 4.8821 4.8821 60.00 60.00 60.00
Fractional coordinates of all 3 atoms:
In 0.0000 0.0000 0.0000
Bi 0.7500 0.7500 0.7500
Be 0.5000 0.5000 0.5000

Results
energy relative to the elements = 0.703 eV per atom
crystal system = cubic
E = -3.0534 eV per atom
density = 6.716 g/cm³

Entry from the Alexandria database: a geometry-optimized BeIn2Bi structure (PBEsol).

Lattice parameters (Å, degrees): 5.1588 5.1588 5.1588 60.00 60.00 60.00
Fractional coordinates of all 4 atoms:
Bi 0.5000 0.5000 0.5000
In 0.2500 0.2500 0.2500
Be 0.0000 0.0000 0.0000
In 0.7500 0.7500 0.7500

Results
energy relative to the elements = 0.511 eV per atom
crystal system = cubic
E = -3.0516 eV per atom
density = 7.656 g/cm³

Entry from the Alexandria database: a geometry-optimized LaBe2BiIr structure (PBEsol).

Lattice parameters (Å, degrees): 4.5977 4.5977 5.7436 90.00 90.00 90.00
Fractional coordinates of all 5 atoms:
Be 0.0000 0.5000 0.0000
Ir 0.5000 0.5000 0.5000
La 0.0000 0.0000 0.0000
Be 0.5000 0.0000 0.0000
Bi 0.0000 0.0000 0.5000

Results
energy relative to the elements = 2.282 eV per atom
crystal system = tetragonal
E = -3.2092 eV per atom
density = 7.633 g/cm³

Entry from the Alexandria database: a geometry-optimized BeBiIrOs2 structure (PBEsol).

Lattice parameters (Å, degrees): 4.6928 4.6928 5.2359 90.00 90.00 90.00
Fractional coordinates of all 5 atoms:
Be 0.5000 0.5000 0.5000
Bi 0.0000 0.0000 0.5000
Os 0.0000 0.5000 0.0000
Os 0.5000 0.0000 0.0000
Ir 0.0000 0.0000 0.0000

Results
energy relative to the elements = 2.332 eV per atom
crystal system = tetragonal
E = -6.1765 eV per atom
density = 11.386 g/cm³

Entry from the Alexandria database: a geometry-optimized KBeBi3 structure (PBEsol).

Lattice parameters (Å, degrees): 5.2627 5.2627 5.2627 90.00 90.00 90.00
Fractional coordinates of all 5 atoms:
Bi 0.0000 0.5000 0.0000
K 0.5000 0.5000 0.5000
Bi 0.0000 0.0000 0.5000
Be 0.0000 0.0000 0.0000
Bi 0.5000 0.0000 0.0000

Results
energy relative to the elements = 0.177 eV per atom
crystal system = cubic
E = -3.4205 eV per atom
density = 7.691 g/cm³

Entry from the Alexandria database: a geometry-optimized La2BeBiPt structure (PBEsol).

Lattice parameters (Å, degrees): 4.9585 6.0265 6.0265 90.00 90.00 90.00
Fractional coordinates of all 5 atoms:
Pt 0.5000 0.0000 0.0000
Bi 0.0000 0.0000 0.0000
La 0.0000 0.5000 0.0000
Be 0.5000 0.5000 0.5000
La 0.0000 0.0000 0.5000

Results
energy relative to the elements = 0.730 eV per atom
crystal system = tetragonal
E = -4.4580 eV per atom
density = 6.371 g/cm³

Entry from the Alexandria database: a geometry-optimized LiBe3Bi structure (PBEsol).

Lattice parameters (Å, degrees): 4.9106 4.9106 4.9106 90.00 90.00 90.00
Fractional coordinates of all 5 atoms:
Be 0.0000 0.5000 0.0000
Li 0.5000 0.5000 0.5000
Be 0.0000 0.0000 0.5000
Bi 0.0000 0.0000 0.0000
Be 0.5000 0.0000 0.0000

Results
energy relative to the elements = 1.374 eV per atom
crystal system = cubic
E = -2.2760 eV per atom
density = 3.407 g/cm³

Entry from the Alexandria database: a geometry-optimized Li2BeBiSe structure (PBEsol).

Lattice parameters (Å, degrees): 4.1382 4.9106 4.9106 90.00 90.00 90.00
Fractional coordinates of all 5 atoms:
Be 0.5000 0.0000 0.0000
Li 0.0000 0.0000 0.5000
Se 0.0000 0.0000 0.0000
Bi 0.5000 0.5000 0.5000
Li 0.0000 0.5000 0.0000

Results
crystal system = tetragonal
E = -3.4408 eV per atom
density = 5.172 g/cm³
energy relative to the elements, uncorrected = -227.0 meV per atom

Entry from the Alexandria database: a geometry-optimized Sr2LiBeBi structure (PBEsol).

Lattice parameters (Å, degrees): 4.6922 6.4047 6.4047 90.00 90.00 90.00
Fractional coordinates of all 5 atoms:
Sr 0.0000 0.5000 0.0000
Be 0.5000 0.0000 0.0000
Sr 0.0000 0.0000 0.5000
Li 0.5000 0.5000 0.5000
Bi 0.0000 0.0000 0.0000

Results
energy relative to the elements = 0.240 eV per atom
crystal system = tetragonal
E = -2.5466 eV per atom
density = 3.452 g/cm³

Entry from the Alexandria database: a geometry-optimized MgBe2Bi structure (PBEsol).

Lattice parameters (Å, degrees): 4.6743 4.6743 4.6743 60.00 60.00 60.00
Fractional coordinates of all 4 atoms:
Mg 0.0000 0.0000 0.0000
Be 0.7500 0.7500 0.7500
Be 0.2500 0.2500 0.2500
Bi 0.5000 0.5000 0.5000

Results
energy relative to the elements = 0.643 eV per atom
crystal system = cubic
E = -2.8577 eV per atom
density = 5.778 g/cm³

Entry from the Alexandria database: a geometry-optimized MgBe2Bi2 structure (PBEsol).

Lattice parameters (Å, degrees): 3.7315 3.7315 8.1860 103.17 103.17 90.00
Fractional coordinates of all 5 atoms:
Be 0.2500 0.7500 0.5000
Bi 0.3682 0.3682 0.7364
Mg 0.0000 0.0000 0.0000
Bi 0.6318 0.6318 0.2636
Be 0.7500 0.2500 0.5000

Results
energy relative to the elements = 0.315 eV per atom
crystal system = tetragonal
E = -3.3422 eV per atom
density = 7.084 g/cm³

Entry from the Alexandria database: a geometry-optimized Be2BiMo2 structure (PBEsol).

Lattice parameters (Å, degrees): 4.4002 4.4002 5.0650 115.75 115.75 90.00
Fractional coordinates of all 5 atoms:
Be 0.7500 0.2500 0.5000
Be 0.2500 0.7500 0.5000
Mo 0.6582 0.6582 0.3164
Bi 0.0000 0.0000 0.0000
Mo 0.3418 0.3418 0.6836

Results
energy relative to the elements = 0.697 eV per atom
crystal system = tetragonal
E = -6.4668 eV per atom
density = 8.989 g/cm³

Entry from the Alexandria database: a geometry-optimized NaBe2BiMo structure (PBEsol).

Lattice parameters (Å, degrees): 4.4506 4.4506 5.0889 90.00 90.00 90.00
Each line ends with the local moment (μB).
Fractional coordinates of all 5 atoms:
Bi 0.5000 0.5000 0.5000  -0.11
Be 0.5000 0.0000 0.0000  -0.01
Mo 0.0000 0.0000 0.0000  1.25
Be 0.0000 0.5000 0.0000  -0.01
Na 0.0000 0.0000 0.5000  0.05

Results
energy relative to the elements = 1.369 eV per atom
crystal system = tetragonal
E = -3.7217 eV per atom
density = 5.699 g/cm³